P:
A geometry-optimized NiGeI2O structure. Source: Alexandria via LeMat-Bulk, functional GGA+U.

Calculated values
The calculated volume comes out at 125 Å³/f.u. As for the space group: P4/mmm, No. 123.

Cell lengths 5.7791, 5.7791, 3.7415 Å; angles 90.00, 90.00, 90.00 degrees
Last column: nearest neighbours and their distance in Å.
Fractional positions:
Ni 0.0000 0.0000 0.0000  8 I 3.44, 2 Ni 3.74
Ge 0.5000 0.5000 0.5000  2 O 1.87
I 0.0000 0.5000 0.5000  2 Ge 2.89
I 0.5000 0.0000 0.5000  2 Ge 2.89
O 0.5000 0.5000 0.0000  2 Ge 1.87



Q:
A geometry-optimized NiGeI2O structure. Source: Alexandria via LeMat-Bulk, functional GGA+U.

Calculated values
The calculated volume comes out at 116 Å³/f.u. As for the space group: P4/mmm, No. 123.

Cell lengths 5.6500, 5.6500, 3.6462 Å; angles 90.00, 90.00, 90.00 degrees
Last column: nearest neighbours and their distance in Å.
Fractional positions:
Ni 0.0000 0.0000 0.0000  2 O 1.82
Ge 0.5000 0.5000 0.5000  8 I 3.36, 2 Ge 3.65
I 0.0000 0.5000 0.0000  2 Ni 2.82
I 0.5000 0.0000 0.0000  2 Ni 2.82
O 0.0000 0.0000 0.5000  2 Ni 1.82



Tell me which of them is the least stable. Sure, it is Q.